<w>
# Be3CrFe, optimized geometry, DFT PBE
# density of states at the Fermi level	0.774	states/eV per atom
data_Be3CrFe
_chemical_formula_sum 'Be3 Cr1 Fe1'
_space_group_name_H-M_alt 'P 1'
_space_group_IT_number 1
_cell_length_a 3.9690
_cell_length_b 3.9690
_cell_length_c 3.9690
_cell_angle_alpha 90.00
_cell_angle_beta 90.00
_cell_angle_gamma 90.00
loop_
_space_group_symop_operation_xyz
'x,y,z'
loop_
_atom_site_label
_atom_site_type_symbol
_atom_site_fract_x
_atom_site_fract_y
_atom_site_fract_z
Cr1 Cr 0.0000 0.0000 0.0000
Fe1 Fe 0.5000 0.5000 0.5000
Be1 Be 0.0000 0.5000 0.0000
Be2 Be 0.0000 0.0000 0.5000
Be3 Be 0.5000 0.0000 0.0000



<x>
# Be3CrFe, optimized geometry, DFT PBE
# density of states at the Fermi level	2.457	states/eV per atom
data_Be3CrFe
_chemical_formula_sum 'Be3 Cr1 Fe1'
_space_group_name_H-M_alt 'P 1'
_space_group_IT_number 1
_cell_length_a 3.7852
_cell_length_b 3.7852
_cell_length_c 3.7852
_cell_angle_alpha 90.00
_cell_angle_beta 90.00
_cell_angle_gamma 90.00
loop_
_space_group_symop_operation_xyz
'x,y,z'
loop_
_atom_site_label
_atom_site_type_symbol
_atom_site_fract_x
_atom_site_fract_y
_atom_site_fract_z
Cr1 Cr 0.5000 0.5000 0.5000
Fe1 Fe 0.0000 0.0000 0.0000
Be1 Be 0.0000 0.5000 0.0000
Be2 Be 0.0000 0.0000 0.5000
Be3 Be 0.5000 0.0000 0.0000



Pick the least stable structure from those above. Pick: <w>